[1]
Here is crystalline Pm6AsC2Se3 at its relaxed geometry from the Alexandria database. Energies are from PBE.

a b c (Å): 4.0031 8.2913 9.1556
angles (deg): 104.63 102.63 90.00
With the nearest neighbours (Å) after each atom.
Sites, in units of the cell vectors:
Pm (0.3303, 0.8803, 0.6606)  2 C 2.69, 1 Se 2.93, 1 As 2.94
Pm (0.6778, 0.5613, 0.3555)  3 C 2.63-2.71
Pm (0.6697, 0.1197, 0.3394)  2 C 2.69, 1 Se 2.93, 1 As 2.94
Pm (0.0181, 0.2569, 0.0362)  1 C 2.62, 2 As 2.88, 2 Se 2.92
Pm (0.9819, 0.7431, 0.9638)  1 C 2.62, 2 As 2.88, 2 Se 2.92
Pm (0.3222, 0.4387, 0.6445)  3 C 2.63-2.71
As (0.5000, 0.0000, 0.0000)  6 Pm 2.88-2.94
C (0.8300, 0.6628, 0.6599)  6 Pm 2.62-2.71
C (0.1700, 0.3372, 0.3401)  6 Pm 2.62-2.71
Se (0.5000, 0.5000, 0.0000)  6 Pm 2.92-3.08
Se (0.8380, 0.1679, 0.6760)  6 Pm 2.93-3.11
Se (0.1620, 0.8321, 0.3240)  6 Pm 2.93-3.11

Properties
Uncorrected formation energy: -1468 kJ/mol of formula units
Electronic total energy: -6.44 eV/atom
SG: C2/m

***

[2]
Here is crystalline Mg2Re2Os at its relaxed geometry from the Alexandria database. Energies are from PBE.

a b c (Å): 6.3726 6.3726 4.5000
angles (deg): 90.00 90.00 90.00
With the nearest neighbours (Å) after each atom.
Sites, in units of the cell vectors:
Re (0.3668, 0.8668, 0.0000)  1 Re 2.40, 2 Os 2.49
Re (0.8668, 0.6332, 0.0000)  1 Re 2.40, 2 Os 2.49
Re (0.6332, 0.1332, 0.0000)  1 Re 2.40, 2 Os 2.49
Re (0.1332, 0.3668, 0.0000)  1 Re 2.40, 2 Os 2.49
Mg (0.1715, 0.6715, 0.5000)  6 Re 2.86-2.98, 1 Mg 3.09
Mg (0.6715, 0.8285, 0.5000)  6 Re 2.86-2.98, 1 Mg 3.09
Mg (0.8285, 0.3285, 0.5000)  6 Re 2.86-2.98, 1 Mg 3.09
Mg (0.3285, 0.1715, 0.5000)  6 Re 2.86-2.98, 1 Mg 3.09
Os (0.0000, 0.0000, 0.0000)  4 Re 2.49
Os (0.5000, 0.5000, 0.0000)  4 Re 2.49

Properties
Electronic total energy: -7.38 eV/atom
SG: P4/mbm
Excess energy over the best structure of this formula in the dataset: 0.000 eV/atom
Calculated formation energy: 0.48 eV per atom